DFT (GGA-PBE) results for crystalline YCN2F at its relaxed geometry.

ΔE_f (raw): -1655 meV per atom
E_tot: -85.0 eV per cell
Symmetry: No. 11

Cell lengths 5.466, 3.520, 6.591 Å; angles 90.00, 95.97, 90.00 degrees
Element x y z (fractional)
Y 0.138 0.250 0.264
Y 0.862 0.750 0.736
C 0.356 0.250 0.835
C 0.644 0.750 0.165
N 0.139 0.250 0.879
N 0.433 0.750 0.208
N 0.567 0.250 0.792
N 0.861 0.750 0.121
F 0.167 0.750 0.510
F 0.833 0.250 0.490

---

DFT (GGA-PBE) results for crystalline YCNF2 at its relaxed geometry.

ΔE_f (raw): -380 meV per atom
E_tot: -29.7 eV per cell
Symmetry: No. 123

Cell lengths 3.803, 3.803, 3.773 Å; angles 90.00, 90.00, 90.00 degrees
Element x y z (fractional)
Y 0.000 0.000 0.000
C 0.500 0.500 0.500
N 0.500 0.500 0.000
F 0.000 0.500 0.500
F 0.500 0.000 0.500

---

DFT (GGA-PBE) results for crystalline YCNF2 at its relaxed geometry.

ΔE_f (raw): -270 meV per atom
E_tot: -29.1 eV per cell
Symmetry: No. 123

Cell lengths 4.312, 4.312, 4.820 Å; angles 90.00, 90.00, 90.00 degrees
Element x y z (fractional)
Y 0.000 0.000 0.000
C 0.500 0.500 0.500
N 0.000 0.000 0.500
F 0.000 0.500 0.000
F 0.500 0.000 0.000

---

DFT (GGA-PBE) results for crystalline YCN2F at its relaxed geometry.

ΔE_f (raw): 168 meV per atom
E_tot: -33.4 eV per cell
Symmetry: No. 123

Cell lengths 3.460, 3.460, 3.980 Å; angles 90.00, 90.00, 90.00 degrees
Element x y z (fractional)
Y 0.000 0.000 0.000
C 0.500 0.500 0.500
N 0.000 0.500 0.500
N 0.500 0.000 0.500
F 0.500 0.500 0.000

---

DFT (GGA-PBE) results for crystalline ZnCNF2 at its relaxed geometry.

ΔE_f (raw): 1081 meV per atom
E_tot: -17.2 eV per cell
Symmetry: No. 123

Cell lengths 3.901, 3.901, 4.111 Å; angles 90.00, 90.00, 90.00 degrees
Element x y z (fractional)
Zn 0.000 0.000 0.000
C 0.500 0.500 0.500
N 0.000 0.000 0.500
F 0.000 0.500 0.000
F 0.500 0.000 0.000

---

DFT (GGA-PBE) results for crystalline ZnCNF2 at its relaxed geometry.

ΔE_f (raw): -264 meV per atom
E_tot: -23.9 eV per cell
Symmetry: No. 123

Cell lengths 4.579, 4.579, 2.477 Å; angles 90.00, 90.00, 90.00 degrees
Element x y z (fractional)
Zn 0.000 0.000 0.000
C 0.500 0.500 0.500
N 0.500 0.500 0.000
F 0.000 0.500 0.500
F 0.500 0.000 0.500

---

DFT (GGA-PBE) results for crystalline ZrCN2F at its relaxed geometry.

ΔE_f (raw): 485 meV per atom
E_tot: -33.9 eV per cell
Symmetry: No. 123

Cell lengths 3.597, 3.597, 3.465 Å; angles 90.00, 90.00, 90.00 degrees
Element x y z (fractional)
Zr 0.000 0.000 0.000
C 0.500 0.500 0.500
N 0.000 0.500 0.500
N 0.500 0.000 0.500
F 0.500 0.500 0.000

---

DFT (GGA-PBE) results for crystalline ZrCN2F at its relaxed geometry.

ΔE_f (raw): 965 meV per atom
E_tot: -31.5 eV per cell
Symmetry: No. 123

Cell lengths 4.322, 4.322, 4.106 Å; angles 90.00, 90.00, 90.00 degrees
Element x y z (fractional)
Zr 0.000 0.000 0.000
C 0.500 0.500 0.500
N 0.000 0.500 0.000
N 0.500 0.000 0.000
F 0.000 0.000 0.500

---

DFT (GGA-PBE) results for crystalline NaCF3 at its relaxed geometry.

ΔE_f (raw): -808 meV per atom
E_tot: -20.2 eV per cell
Symmetry: No. 221

Cell lengths 3.814, 3.814, 3.814 Å; angles 90.00, 90.00, 90.00 degrees
Element x y z (fractional)
Na 0.000 0.000 0.000
C 0.500 0.500 0.500
F 0.000 0.500 0.500
F 0.500 0.000 0.500
F 0.500 0.500 0.000

---

DFT (GGA-PBE) results for crystalline NaC2F at its relaxed geometry.

ΔE_f (raw): 2495 meV per atom
E_tot: -46.6 eV per cell
Symmetry: No. 225

Cell lengths 5.806, 5.806, 5.806 Å; angles 90.00, 90.00, 90.00 degrees
Element x y z (fractional)
Na 0.000 0.000 0.000
Na 0.000 0.500 0.500
Na 0.500 0.000 0.500
Na 0.500 0.500 0.000
C 0.250 0.250 0.250
C 0.250 0.250 0.750
C 0.250 0.750 0.250
C 0.250 0.750 0.750
C 0.750 0.250 0.250
C 0.750 0.250 0.750
C 0.750 0.750 0.250
C 0.750 0.750 0.750
F 0.000 0.000 0.500
F 0.000 0.500 0.000
F 0.500 0.000 0.000
F 0.500 0.500 0.500

---

DFT (GGA-PBE) results for crystalline NaC3F at its relaxed geometry.

ΔE_f (raw): 3893 meV per atom
E_tot: -11.4 eV per cell
Symmetry: No. 221

Cell lengths 4.538, 4.538, 4.538 Å; angles 90.00, 90.00, 90.00 degrees
Element x y z (fractional)
Na 0.000 0.000 0.000
C 0.000 0.000 0.500
C 0.000 0.500 0.000
C 0.500 0.000 0.000
F 0.500 0.500 0.500

---

DFT (GGA-PBE) results for crystalline NaCF2 at its relaxed geometry.

ΔE_f (raw): -152 meV per atom
E_tot: -59.6 eV per cell
Symmetry: No. 122

Cell lengths 4.384, 4.384, 11.883 Å; angles 90.00, 90.00, 90.00 degrees
Element x y z (fractional)
Na 0.000 0.000 0.000
Na 0.000 0.500 0.250
Na 0.500 0.000 0.750
Na 0.500 0.500 0.500
C 0.000 0.000 0.500
C 0.000 0.500 0.750
C 0.500 0.000 0.250
C 0.500 0.500 0.000
F 0.196 0.250 0.625
F 0.250 0.696 0.875
F 0.250 0.804 0.375
F 0.304 0.250 0.125
F 0.696 0.750 0.125
F 0.750 0.196 0.375
F 0.750 0.304 0.875
F 0.804 0.750 0.625

---

no.,total magnetization (μB/atom),V (A^3/atom)
1,0.000,12.6
2,0.000,10.9
3,0.000,17.9
4,0.000,9.5
5,0.118,12.5
6,0.000,10.4
7,0.000,9.0
8,0.199,15.3
9,0.000,11.1
10,0.482,12.2
11,0.827,18.7
12,0.250,14.3